No. 1
{"formula": "BaHg2OsO", "functional": "PBE", "state": "relaxed", "sg": "P4/mmm", "energy_ev_per_atom": -3.995, "e_form_raw_ev_per_atom": -0.2519, "lattice_angstrom": [[5.622, 0.000, 0.000], [0.000, 5.622, 0.000], [0.000, 0.000, 3.819]], "species": ["Ba", "Hg", "Hg", "Os", "O"], "fractional_positions": [[0.000, 0.000, 0.000], [0.000, 0.500, 0.500], [0.500, 0.000, 0.500], [0.500, 0.500, 0.500], [0.500, 0.500, 0.000]]}

No. 2
{"formula": "AgPd2Pt2", "functional": "PBE", "state": "relaxed", "sg": "I4/mmm", "energy_ev_per_atom": -4.777, "de_polymorph_ev_per_atom": 0.1836, "e_form_mev_per_atom": 286.2, "lattice_angstrom": [[3.696, 0.000, 0.000], [0.000, 3.696, 0.000], [0.000, 0.000, 13.187]], "species": ["Ag", "Ag", "Pd", "Pd", "Pd", "Pd", "Pt", "Pt", "Pt", "Pt"], "fractional_positions": [[0.000, 0.000, 0.000], [0.500, 0.500, 0.500], [0.000, 0.000, 0.401], [0.000, 0.000, 0.599], [0.500, 0.500, 0.099], [0.500, 0.500, 0.901], [0.000, 0.500, 0.250], [0.000, 0.500, 0.750], [0.500, 0.000, 0.250], [0.500, 0.000, 0.750]]}

No. 3
{"formula": "SrMg2Cd3", "functional": "PBE", "state": "relaxed", "sg": "Cmcm", "energy_ev_per_atom": -1.461, "e_form_mev_per_atom": -191.6, "lattice_angstrom": [[5.609, -4.582, 0.000], [5.609, 4.582, 0.000], [0.000, 0.000, 6.274]], "species": ["Sr", "Sr", "Mg", "Mg", "Mg", "Mg", "Cd", "Cd", "Cd", "Cd", "Cd", "Cd"], "fractional_positions": [[0.169, 0.831, 0.750], [0.831, 0.169, 0.250], [0.284, 0.284, 0.000], [0.284, 0.284, 0.500], [0.716, 0.716, 0.000], [0.716, 0.716, 0.500], [0.052, 0.628, 0.250], [0.372, 0.948, 0.250], [0.455, 0.545, 0.250], [0.545, 0.455, 0.750], [0.628, 0.052, 0.750], [0.948, 0.372, 0.750]]}

No. 4
{"formula": "Ba2PaHS5", "functional": "PBE", "state": "relaxed", "sg": "Cmc2_1", "energy_ev_per_atom": -5.747, "lattice_angstrom": [[2.119, -8.955, 0.000], [2.119, 8.955, 0.000], [0.000, 0.000, 12.674]], "species": ["Ba", "Ba", "Ba", "Ba", "Pa", "Pa", "H", "H", "S", "S", "S", "S", "S", "S", "S", "S", "S", "S"], "fractional_positions": [[0.110, 0.890, 0.500], [0.129, 0.871, 0.136], [0.871, 0.129, 0.636], [0.890, 0.110, 0.000], [0.195, 0.805, 0.832], [0.805, 0.195, 0.332], [0.472, 0.528, 0.203], [0.528, 0.472, 0.703], [0.060, 0.940, 0.874], [0.289, 0.711, 0.469], [0.308, 0.692, 0.195], [0.343, 0.657, 0.822], [0.499, 0.501, 0.603], [0.501, 0.499, 0.103], [0.657, 0.343, 0.322], [0.692, 0.308, 0.695], [0.711, 0.289, 0.969], [0.940, 0.060, 0.374]]}

No. 5
{"formula": "Ba6Rh2AuCl3", "functional": "PBE", "state": "relaxed", "sg": "C2/m", "energy_ev_per_atom": -4.051, "e_form_raw_ev_per_atom": -1.1292, "lattice_angstrom": [[3.935, -6.816, 0.000], [3.935, 6.816, 0.000], [-2.630, 0.000, 8.036]], "species": ["Ba", "Ba", "Ba", "Ba", "Ba", "Ba", "Rh", "Rh", "Au", "Cl", "Cl", "Cl"], "fractional_positions": [[0.070, 0.426, 0.777], [0.220, 0.220, 0.225], [0.426, 0.070, 0.777], [0.574, 0.930, 0.223], [0.780, 0.780, 0.775], [0.930, 0.574, 0.223], [0.166, 0.834, 0.000], [0.834, 0.166, 0.000], [0.500, 0.500, 0.000], [0.000, 0.000, 0.500], [0.333, 0.667, 0.500], [0.667, 0.333, 0.500]]}

No. 6
{"formula": "LiCoSb2", "functional": "PBE", "state": "relaxed", "sg": "Fm-3m", "energy_ev_per_atom": -4.344, "de_polymorph_ev_per_atom": 0.1250, "e_form_raw_ev_per_atom": -0.0281, "lattice_angstrom": [[6.601, 0.000, 0.000], [0.000, 6.601, 0.000], [0.000, 0.000, 6.601]], "species": ["Li", "Li", "Li", "Li", "Co", "Co", "Co", "Co", "Sb", "Sb", "Sb", "Sb", "Sb", "Sb", "Sb", "Sb"], "fractional_positions": [[0.000, 0.000, 0.000], [0.000, 0.500, 0.500], [0.500, 0.000, 0.500], [0.500, 0.500, 0.000], [0.000, 0.000, 0.500], [0.000, 0.500, 0.000], [0.500, 0.000, 0.000], [0.500, 0.500, 0.500], [0.250, 0.250, 0.250], [0.250, 0.250, 0.750], [0.250, 0.750, 0.250], [0.250, 0.750, 0.750], [0.750, 0.250, 0.250], [0.750, 0.250, 0.750], [0.750, 0.750, 0.250], [0.750, 0.750, 0.750]]}

No. 7
{"formula": "SrEuTlSn", "functional": "PBE", "state": "relaxed", "sg": "F-43m", "energy_ev_per_atom": -5.108, "e_form_mev_per_atom": -526.6, "lattice_angstrom": [[8.044, 0.000, 0.000], [0.000, 8.044, 0.000], [0.000, 0.000, 8.044]], "species": ["Sr", "Sr", "Sr", "Sr", "Eu", "Eu", "Eu", "Eu", "Tl", "Tl", "Tl", "Tl", "Sn", "Sn", "Sn", "Sn"], "fractional_positions": [[0.000, 0.000, 0.000], [0.000, 0.500, 0.500], [0.500, 0.000, 0.500], [0.500, 0.500, 0.000], [0.000, 0.000, 0.500], [0.000, 0.500, 0.000], [0.500, 0.000, 0.000], [0.500, 0.500, 0.500], [0.250, 0.250, 0.750], [0.250, 0.750, 0.250], [0.750, 0.250, 0.250], [0.750, 0.750, 0.750], [0.250, 0.250, 0.250], [0.250, 0.750, 0.750], [0.750, 0.250, 0.750], [0.750, 0.750, 0.250]]}

No. 8
{"formula": "KAu2", "functional": "PBE", "state": "relaxed", "sg": "P6/mmm", "energy_ev_per_atom": -2.655, "e_form_mev_per_atom": -104.2, "lattice_angstrom": [[5.207, 0.000, 0.000], [-2.603, 4.509, 0.000], [0.000, 0.000, 2.977]], "species": ["K", "Au", "Au"], "fractional_positions": [[0.000, 0.000, 0.000], [0.333, 0.667, 0.500], [0.667, 0.333, 0.500]]}

No. 9
{"formula": "In3BiSe6", "functional": "PBE", "state": "relaxed", "sg": "P2_1/m", "energy_ev_per_atom": -3.729, "e_form_raw_ev_per_atom": -0.4289, "lattice_angstrom": [[11.776, 0.000, 0.000], [0.000, 4.008, 0.000], [-5.692, 0.000, 11.947]], "species": ["In", "In", "In", "In", "In", "In", "Bi", "Bi", "Se", "Se", "Se", "Se", "Se", "Se", "Se", "Se", "Se", "Se", "Se", "Se"], "fractional_positions": [[0.046, 0.250, 0.352], [0.285, 0.250, 0.049], [0.338, 0.750, 0.299], [0.662, 0.250, 0.701], [0.715, 0.750, 0.951], [0.954, 0.750, 0.648], [0.272, 0.250, 0.753], [0.728, 0.750, 0.247], [0.056, 0.250, 0.793], [0.139, 0.750, 0.583], [0.154, 0.750, 0.094], [0.292, 0.250, 0.421], [0.364, 0.750, 0.943], [0.481, 0.250, 0.259], [0.519, 0.750, 0.741], [0.636, 0.250, 0.057], [0.708, 0.750, 0.579], [0.846, 0.250, 0.906], [0.861, 0.250, 0.417], [0.944, 0.750, 0.207]]}

No. 10
{"formula": "Sc2BiPd", "functional": "PBE", "state": "relaxed", "sg": "I-42d", "energy_ev_per_atom": -5.465, "e_form_mev_per_atom": -30.9, "lattice_angstrom": [[6.403, 0.000, 0.000], [0.000, 6.403, 0.000], [0.000, 0.000, 12.549]], "species": ["Sc", "Sc", "Sc", "Sc", "Sc", "Sc", "Sc", "Sc", "Bi", "Bi", "Bi", "Bi", "Pd", "Pd", "Pd", "Pd"], "fractional_positions": [[0.210, 0.250, 0.125], [0.250, 0.710, 0.375], [0.250, 0.790, 0.875], [0.290, 0.250, 0.625], [0.710, 0.750, 0.625], [0.750, 0.210, 0.875], [0.750, 0.290, 0.375], [0.790, 0.750, 0.125], [0.000, 0.000, 0.500], [0.000, 0.500, 0.750], [0.500, 0.000, 0.250], [0.500, 0.500, 0.000], [0.000, 0.000, 0.000], [0.000, 0.500, 0.250], [0.500, 0.000, 0.750], [0.500, 0.500, 0.500]]}

No. 11
{"formula": "Pr2IrPbO8", "functional": "PBE", "state": "relaxed", "sg": "P-1", "energy_ev_per_atom": -6.904, "e_form_raw_ev_per_atom": -1.7542, "lattice_angstrom": [[4.972, 0.000, 0.000], [-0.210, 5.056, 0.000], [-0.084, -0.072, 7.104]], "species": ["Pr", "Pr", "Ir", "Pb", "O", "O", "O", "O", "O", "O", "O", "O"], "fractional_positions": [[0.056, 0.050, 0.255], [0.944, 0.950, 0.745], [0.500, 0.500, 0.500], [0.500, 0.500, 0.000], [0.192, 0.201, 0.967], [0.224, 0.244, 0.542], [0.293, 0.645, 0.285], [0.365, 0.719, 0.713], [0.635, 0.281, 0.287], [0.707, 0.355, 0.715], [0.776, 0.756, 0.458], [0.808, 0.799, 0.033]]}

No. 12
{"formula": "CsPuTiS4", "functional": "PBE", "state": "relaxed", "sg": "P2_1/m", "energy_ev_per_atom": -7.099, "e_form_raw_ev_per_atom": -1.4437, "lattice_angstrom": [[6.718, 0.000, 0.000], [0.000, 6.779, 0.000], [-3.062, 0.000, 9.087]], "species": ["Cs", "Cs", "Pu", "Pu", "Ti", "Ti", "S", "S", "S", "S", "S", "S", "S", "S"], "fractional_positions": [[0.228, 0.250, 0.440], [0.772, 0.750, 0.560], [0.285, 0.250, 0.954], [0.715, 0.750, 0.046], [0.269, 0.750, 0.159], [0.731, 0.250, 0.841], [0.052, 0.750, 0.929], [0.065, 0.750, 0.306], [0.497, 0.505, 0.810], [0.497, 0.995, 0.810], [0.503, 0.005, 0.190], [0.503, 0.495, 0.190], [0.935, 0.250, 0.694], [0.948, 0.250, 0.071]]}